# YSi2Se, single point on PBEsol structure, DFT SCAN
# Final energy: -70.29 eV per formula unit
# Formation energy (no corrections): -0.583 eV per atom
data_YSi2Se
_chemical_formula_sum 'Y1 Si2 Se1'
_cell_length_a 3.8982
_cell_length_b 3.8736
_cell_length_c 5.7917
_cell_angle_alpha 90.00
_cell_angle_beta 106.28
_cell_angle_gamma 90.00
_symmetry_space_group_name_H-M 'P 1 m 1'
_symmetry_Int_Tables_number 6
loop_
_symmetry_equiv_pos_as_xyz
'x,y,z'
'x,-y,z'
loop_
_atom_site_label
_atom_site_type_symbol
_atom_site_fract_x
_atom_site_fract_y
_atom_site_fract_z
_atom_site_occupancy
Y1 Y 0.0000 0.0000 0.0000 1
Si1 Si 0.1932 0.0000 0.5387 1
Si2 Si 0.4741 0.5000 0.7231 1
Se1 Se 0.5565 0.5000 0.1622 1

# SrZn2Mo, single point on PBEsol structure, DFT SCAN
# Final energy: -81.58 eV per formula unit
data_SrZn2Mo
_chemical_formula_sum 'Sr1 Zn2 Mo1'
_cell_length_a 5.1154
_cell_length_b 2.8059
_cell_length_c 5.5914
_cell_angle_alpha 90.00
_cell_angle_beta 108.64
_cell_angle_gamma 90.00
_symmetry_space_group_name_H-M 'P 1 2/m 1'
_symmetry_Int_Tables_number 10
loop_
_symmetry_equiv_pos_as_xyz
'x,y,z'
'-x,-y,-z'
'-x,y,-z'
'x,-y,z'
loop_
_atom_site_label
_atom_site_type_symbol
_atom_site_fract_x
_atom_site_fract_y
_atom_site_fract_z
_atom_site_occupancy
Sr1 Sr 0.0000 0.0000 0.0000 1
Zn1 Zn 0.0000 0.0000 0.5000 1
Zn2 Zn 0.5000 0.5000 0.0000 1
Mo1 Mo 0.5000 0.5000 0.5000 1

# Zn2FeCo, single point on PBEsol structure, DFT SCAN
# Final energy: -62.49 eV per formula unit
data_Zn2FeCo
_chemical_formula_sum 'Zn4 Fe2 Co2'
_cell_length_a 3.7401
_cell_length_b 3.7401
_cell_length_c 6.7152
_cell_angle_alpha 90.00
_cell_angle_beta 90.00
_cell_angle_gamma 90.00
_symmetry_space_group_name_H-M 'I -4 m 2'
_symmetry_Int_Tables_number 119
_symmetry_space_group_name_Hall 'I -4 -2'
loop_
_atom_site_label
_atom_site_type_symbol
_atom_site_fract_x
_atom_site_fract_y
_atom_site_fract_z
_atom_site_occupancy
Zn1 Zn 0.0000 0.0000 0.0000 1
Zn2 Zn 0.0000 0.5000 0.2500 1
Fe1 Fe 0.0000 0.5000 0.7500 1
Co1 Co 0.0000 0.0000 0.5000 1

# NiCIO2, single point on PBEsol structure, DFT SCAN
# Final energy: -71.19 eV per formula unit
# Formation energy (no corrections): 0.858 eV per atom
data_NiCIO2
_chemical_formula_sum 'Ni1 C1 I1 O2'
_cell_length_a 3.4750
_cell_length_b 3.4750
_cell_length_c 6.8703
_cell_angle_alpha 90.00
_cell_angle_beta 90.00
_cell_angle_gamma 90.00
_symmetry_space_group_name_H-M 'P 4/m m m'
_symmetry_Int_Tables_number 123
_symmetry_space_group_name_Hall '-P 4 2'
loop_
_atom_site_label
_atom_site_type_symbol
_atom_site_fract_x
_atom_site_fract_y
_atom_site_fract_z
_atom_site_occupancy
Ni1 Ni 0.0000 0.0000 0.0000 1
C1 C 0.5000 0.5000 0.5000 1
I1 I 0.0000 0.0000 0.5000 1
O1 O 0.0000 0.5000 0.0000 1

# MnTe2Pb, single point on PBEsol structure, DFT SCAN
# Final energy: -168.50 eV per formula unit
# Formation energy (no corrections): 0.010 eV per atom
data_MnTe2Pb
_chemical_formula_sum 'Mn1 Te2 Pb1'
_cell_length_a 5.2744
_cell_length_b 5.2744
_cell_length_c 3.7689
_cell_angle_alpha 90.00
_cell_angle_beta 90.00
_cell_angle_gamma 90.00
_symmetry_space_group_name_H-M 'P 4/m m m'
_symmetry_Int_Tables_number 123
_symmetry_space_group_name_Hall '-P 4 2'
loop_
_atom_site_label
_atom_site_type_symbol
_atom_site_fract_x
_atom_site_fract_y
_atom_site_fract_z
_atom_site_occupancy
Mn1 Mn 0.0000 0.0000 0.0000 1
Te1 Te 0.0000 0.5000 0.5000 1
Pb1 Pb 0.5000 0.5000 0.0000 1

# OsBr2Cl, single point on PBEsol structure, DFT SCAN
# Final energy: -115.44 eV per formula unit
# Formation energy (no corrections): 0.835 eV per atom
data_OsBr2Cl
_chemical_formula_sum 'Os1 Br2 Cl1'
_cell_length_a 2.9447
_cell_length_b 3.2324
_cell_length_c 8.9665
_cell_angle_alpha 90.00
_cell_angle_beta 90.00
_cell_angle_gamma 90.00
_symmetry_space_group_name_H-M 'P m m 2'
_symmetry_Int_Tables_number 25
loop_
_symmetry_equiv_pos_as_xyz
'x,y,z'
'-x,-y,z'
'-x,y,z'
'x,-y,z'
loop_
_atom_site_label
_atom_site_type_symbol
_atom_site_fract_x
_atom_site_fract_y
_atom_site_fract_z
_atom_site_occupancy
Os1 Os 0.0000 0.0000 0.0000 1
Br1 Br 0.0000 0.0000 0.5371 1
Br2 Br 0.5000 0.5000 0.8518 1
Cl1 Cl 0.5000 0.5000 0.1860 1

# Dy3NiGe2, single point on PBEsol structure, DFT SCAN
# Final energy: -202.93 eV per formula unit
data_Dy3NiGe2
_chemical_formula_sum 'Dy12 Ni4 Ge8'
_cell_length_a 11.2284
_cell_length_b 4.1143
_cell_length_c 11.0863
_cell_angle_alpha 90.00
_cell_angle_beta 90.00
_cell_angle_gamma 90.00
_symmetry_space_group_name_H-M 'P n m a'
_symmetry_Int_Tables_number 62
loop_
_symmetry_equiv_pos_as_xyz
'x,y,z'
'-x,-y,-z'
'-x+1/2,-y,z+1/2'
'x+1/2,y,-z+1/2'
'x+1/2,-y+1/2,-z+1/2'
'-x+1/2,y+1/2,z+1/2'
'-x,y+1/2,-z'
'x,-y+1/2,z'
loop_
_atom_site_label
_atom_site_type_symbol
_atom_site_fract_x
_atom_site_fract_y
_atom_site_fract_z
_atom_site_occupancy
Dy1 Dy 0.0559 0.2500 0.1274 1
Dy2 Dy 0.1189 0.7500 0.5587 1
Dy3 Dy 0.2194 0.2500 0.8035 1
Ni1 Ni 0.1294 0.2500 0.3684 1
Ge1 Ge 0.0184 0.7500 0.3126 1
Ge2 Ge 0.1930 0.7500 0.9987 1

# TaGeI2O, single point on PBEsol structure, DFT SCAN
# Final energy: -166.85 eV per formula unit
# Formation energy (no corrections): -0.293 eV per atom
data_TaGeI2O
_chemical_formula_sum 'Ta1 Ge1 I2 O1'
_cell_length_a 5.5751
_cell_length_b 5.5751
_cell_length_c 3.8361
_cell_angle_alpha 90.00
_cell_angle_beta 90.00
_cell_angle_gamma 90.00
_symmetry_space_group_name_H-M 'P 4/m m m'
_symmetry_Int_Tables_number 123
_symmetry_space_group_name_Hall '-P 4 2'
loop_
_atom_site_label
_atom_site_type_symbol
_atom_site_fract_x
_atom_site_fract_y
_atom_site_fract_z
_atom_site_occupancy
Ta1 Ta 0.0000 0.0000 0.0000 1
Ge1 Ge 0.5000 0.5000 0.5000 1
I1 I 0.0000 0.5000 0.0000 1
O1 O 0.0000 0.0000 0.5000 1

# Li2LaCr, single point on PBEsol structure, DFT SCAN
# Final energy: -65.08 eV per formula unit
data_Li2LaCr
_chemical_formula_sum 'Li2 La1 Cr1'
_cell_length_a 3.6223
_cell_length_b 3.6223
_cell_length_c 6.5141
_cell_angle_alpha 90.00
_cell_angle_beta 90.00
_cell_angle_gamma 90.00
_symmetry_space_group_name_H-M 'P 4/m m m'
_symmetry_Int_Tables_number 123
_symmetry_space_group_name_Hall '-P 4 2'
loop_
_atom_site_label
_atom_site_type_symbol
_atom_site_fract_x
_atom_site_fract_y
_atom_site_fract_z
_atom_site_occupancy
Li1 Li 0.0000 0.0000 0.1963 1
La1 La 0.5000 0.5000 0.5000 1
Cr1 Cr 0.5000 0.5000 0.0000 1

# AlIn2W, single point on PBEsol structure, DFT SCAN
# Final energy: -142.82 eV per formula unit
data_AlIn2W
_chemical_formula_sum 'Al1 In2 W1'
_cell_length_a 2.9110
_cell_length_b 2.9110
_cell_length_c 9.0722
_cell_angle_alpha 90.00
_cell_angle_beta 90.00
_cell_angle_gamma 90.00
_symmetry_space_group_name_H-M 'P 4 m m'
_symmetry_Int_Tables_number 99
loop_
_symmetry_equiv_pos_as_xyz
'x,y,z'
'-y,x,z'
'-x,-y,z'
'y,-x,z'
'-x,y,z'
'y,x,z'
'x,-y,z'
'-y,-x,z'
loop_
_atom_site_label
_atom_site_type_symbol
_atom_site_fract_x
_atom_site_fract_y
_atom_site_fract_z
_atom_site_occupancy
Al1 Al 0.0000 0.0000 0.0000 1
In1 In 0.0000 0.0000 0.4381 1
In2 In 0.5000 0.5000 0.7396 1
W1 W 0.5000 0.5000 0.1989 1

# Rb2LiGeP, single point on PBEsol structure, DFT SCAN
# Final energy: -70.93 eV per formula unit
data_Rb2LiGeP
_chemical_formula_sum 'Rb2 Li1 Ge1 P1'
_cell_length_a 6.3164
_cell_length_b 6.3164
_cell_length_c 4.9323
_cell_angle_alpha 90.00
_cell_angle_beta 90.00
_cell_angle_gamma 90.00
_symmetry_space_group_name_H-M 'P 4/m m m'
_symmetry_Int_Tables_number 123
_symmetry_space_group_name_Hall '-P 4 2'
loop_
_atom_site_label
_atom_site_type_symbol
_atom_site_fract_x
_atom_site_fract_y
_atom_site_fract_z
_atom_site_occupancy
Rb1 Rb 0.0000 0.5000 0.0000 1
Li1 Li 0.0000 0.0000 0.5000 1
Ge1 Ge 0.0000 0.0000 0.0000 1
P1 P 0.5000 0.5000 0.5000 1

# ScBeCuSe2, single point on PBEsol structure, DFT SCAN
# Final energy: -72.80 eV per formula unit
# Formation energy (no corrections): 0.229 eV per atom
data_ScBeCuSe2
_chemical_formula_sum 'Sc1 Be1 Cu1 Se2'
_cell_length_a 4.3896
_cell_length_b 4.3896
_cell_length_c 4.5850
_cell_angle_alpha 90.00
_cell_angle_beta 90.00
_cell_angle_gamma 90.00
_symmetry_space_group_name_H-M 'P 4/m m m'
_symmetry_Int_Tables_number 123
_symmetry_space_group_name_Hall '-P 4 2'
loop_
_atom_site_label
_atom_site_type_symbol
_atom_site_fract_x
_atom_site_fract_y
_atom_site_fract_z
_atom_site_occupancy
Sc1 Sc 0.0000 0.0000 0.0000 1
Be1 Be 0.0000 0.0000 0.5000 1
Cu1 Cu 0.5000 0.5000 0.0000 1
Se1 Se 0.0000 0.5000 0.5000 1

# InNiRu3, single point on PBEsol structure, DFT SCAN
# Final energy: -148.08 eV per formula unit
data_InNiRu3
_chemical_formula_sum 'In1 Ni1 Ru3'
_cell_length_a 4.4064
_cell_length_b 4.4064
_cell_length_c 4.4064
_cell_angle_alpha 90.00
_cell_angle_beta 90.00
_cell_angle_gamma 90.00
_symmetry_space_group_name_H-M 'P m -3 m'
_symmetry_Int_Tables_number 221
_symmetry_space_group_name_Hall '-P 4 2 3'
loop_
_atom_site_label
_atom_site_type_symbol
_atom_site_fract_x
_atom_site_fract_y
_atom_site_fract_z
_atom_site_occupancy
In1 In 0.0000 0.0000 0.0000 1
Ni1 Ni 0.5000 0.5000 0.5000 1
Ru1 Ru 0.0000 0.5000 0.5000 1

| no. | calculated volume (A^3/atom) |
| --- | --- |
| 1 | 20.99 |
| 2 | 19.01 |
| 3 | 11.74 |
| 4 | 16.59 |
| 5 | 26.21 |
| 6 | 21.34 |
| 7 | 21.34 |
| 8 | 23.85 |
| 9 | 21.37 |
| 10 | 19.22 |
| 11 | 39.36 |
| 12 | 17.67 |
| 13 | 17.11 |